[1]
Computed, not measured: crystalline CrInB3 at its relaxed geometry at the PBE level of DFT.

Summary:
- theoretical density (g/cm3) = 4.041
- ΔE_f (eV per atom) = 2.8279
- ΔE to the lowest computed polymorph (meV per atom) = 1724.8
- calculated total energy (eV/atom) = -3.65

Cell: 4.3422 4.3422 4.3422 Å, 90.00 90.00 90.00°
Site moments in Bohr magnetons follow the coordinates.
Fractional positions:
In1 0.0000 0.0000 0.0000  0.01
Cr1 0.5000 0.5000 0.5000  -0.21
B1 0.0000 0.5000 0.0000  0.00
B2 0.0000 0.0000 0.5000  0.03
B3 0.5000 0.0000 0.0000  -0.01

=====

[2]
Computed, not measured: crystalline Cr2InB at its relaxed geometry at the PBE level of DFT.

Summary:
- theoretical density (g/cm3) = 6.420
- ΔE_f (eV per atom) = 0.9218
- ΔE to the lowest computed polymorph (meV per atom) = 0.0
- calculated total energy (eV/atom) = -6.24

Cell: 3.8733 3.8733 8.3776 Å, 76.63 76.63 90.00°
Fractional positions:
B1 0.2500 0.7500 0.5000
B2 0.5000 0.5000 0.0000
In1 0.0000 0.0000 0.0000
In2 0.7500 0.2500 0.5000
Cr1 0.2793 0.1250 0.2500
Cr2 0.3750 0.7207 0.7500
Cr3 0.4707 0.6250 0.2500
Cr4 0.8750 0.5293 0.7500

=====

[3]
Computed, not measured: crystalline CrIn3B at its relaxed geometry at the PBE level of DFT.

Summary:
- theoretical density (g/cm3) = 6.067
- ΔE_f (eV per atom) = 0.8359
- ΔE to the lowest computed polymorph (meV per atom) = 0.0
- calculated total energy (eV/atom) = -4.07

Cell: 4.8127 4.8127 4.8127 Å, 90.00 90.00 90.00°
Site moments in Bohr magnetons follow the coordinates.
Fractional positions:
In1 0.0000 0.5000 0.0000  0.00
In2 0.5000 0.0000 0.0000  -0.01
In3 0.0000 0.0000 0.5000  0.00
Cr1 0.5000 0.5000 0.5000  4.04
B1 0.0000 0.0000 0.0000  0.06

=====

[4]
Computed, not measured: crystalline CrIn2B at its relaxed geometry at the PBE level of DFT.

Summary:
- theoretical density (g/cm3) = 6.283
- ΔE_f (eV per atom) = 0.6186
- calculated total energy (eV/atom) = -4.83

Cell: 8.4572 8.4572 6.3586 Å, 48.32 48.32 90.00°
Site moments in Bohr magnetons follow the coordinates.
Fractional positions:
B1 0.2500 0.7500 0.5000  -0.10
B2 0.5000 0.5000 0.0000  -0.10
In1 0.2482 0.6250 0.2500  -0.05
In2 0.3750 0.4982 0.7500  -0.04
In3 0.5018 0.1250 0.2500  -0.04
In4 0.8750 0.7518 0.7500  -0.05
Cr1 0.7500 0.2500 0.5000  3.10
Cr2 0.0000 0.0000 0.0000  3.09

=====

[5]
Computed, not measured: crystalline CrInB3 at its relaxed geometry at the PBE level of DFT.

Summary:
- theoretical density (g/cm3) = 5.230
- ΔE_f (eV per atom) = 1.1032
- ΔE to the lowest computed polymorph (meV per atom) = 0.0
- calculated total energy (eV/atom) = -5.38

Cell: 3.9845 3.9845 3.9845 Å, 90.00 90.00 90.00°
Site moments in Bohr magnetons follow the coordinates.
Fractional positions:
Cr1 0.0000 0.0000 0.0000  0.69
B1 0.0000 0.0000 0.5000  0.02
B2 0.0000 0.5000 0.0000  -0.02
B3 0.5000 0.0000 0.0000  -0.01
In1 0.5000 0.5000 0.5000  0.06

=====

[6]
Computed, not measured: crystalline CrInB2 at its relaxed geometry at the PBE level of DFT.

Summary:
- theoretical density (g/cm3) = 5.182
- ΔE_f (eV per atom) = 1.0454
- calculated total energy (eV/atom) = -5.38

Cell: 5.3025 5.3025 5.7017 Å, 62.29 62.29 90.00°
Fractional positions:
Cr1 0.5000 0.5000 0.0000
Cr2 0.2500 0.7500 0.5000
B1 0.8750 0.8127 0.7500
B2 0.5627 0.1250 0.2500
B3 0.3750 0.4373 0.7500
B4 0.1873 0.6250 0.2500
In1 0.0000 0.0000 0.0000
In2 0.7500 0.2500 0.5000

=====

[7]
Computed, not measured: crystalline Cr2InB at its relaxed geometry at the PBE level of DFT.

Summary:
- theoretical density (g/cm3) = 7.572
- ΔE_f (eV per atom) = 0.9958
- ΔE to the lowest computed polymorph (meV per atom) = 74.0
- calculated total energy (eV/atom) = -6.17

Cell: 4.1449 4.1449 4.1449 Å, 60.00 60.00 60.00°
Site moments in Bohr magnetons follow the coordinates.
Fractional positions:
B1 0.0000 0.0000 0.0000  -0.01
Cr1 0.7500 0.7500 0.7500  0.33
Cr2 0.2500 0.2500 0.2500  0.33
In1 0.5000 0.5000 0.5000  0.00

=====

[8]
Computed, not measured: crystalline CrInBPb2 at its relaxed geometry at the PBE level of DFT.

Summary:
- theoretical density (g/cm3) = 6.069
- ΔE_f (eV per atom) = 2.1464
- calculated total energy (eV/atom) = -3.14

Cell: 5.6885 5.0060 5.6885 Å, 90.00 90.00 90.00°
Fractional positions:
Pb1 0.0000 0.0000 0.5000
Pb2 0.5000 0.0000 0.0000
In1 0.0000 0.0000 0.0000
B1 0.5000 0.5000 0.5000
Cr1 0.0000 0.5000 0.0000

=====

[9]
Computed, not measured: crystalline CrIn2BS at its relaxed geometry at the PBE level of DFT.

Summary:
- theoretical density (g/cm3) = 4.792
- formation energy (no corrections) (meV/atom) = 999
- calculated total energy (eV/atom) = -4.18

Cell: 5.2005 4.1581 5.2005 Å, 90.00 90.00 90.00°
Fractional positions:
Cr1 0.0000 0.0000 0.0000
S1 0.0000 0.5000 0.0000
In1 0.0000 0.0000 0.5000
In2 0.5000 0.0000 0.0000
B1 0.5000 0.5000 0.5000

=====

[10]
Computed, not measured: crystalline CrInSi2B at its relaxed geometry at the PBE level of DFT.

Summary:
- theoretical density (g/cm3) = 3.910
- formation energy (no corrections) (meV/atom) = 1184
- calculated total energy (eV/atom) = -4.79

Cell: 4.4244 5.0724 4.4244 Å, 90.00 90.00 90.00°
Fractional positions:
Si1 0.0000 0.0000 0.5000
Si2 0.5000 0.0000 0.0000
Cr1 0.0000 0.0000 0.0000
In1 0.0000 0.5000 0.0000
B1 0.5000 0.5000 0.5000

=====

[11]
Computed, not measured: crystalline Cr2InBTe at its relaxed geometry at the PBE level of DFT.

Summary:
- theoretical density (g/cm3) = 3.717
- formation energy (no corrections) (meV/atom) = 1777
- calculated total energy (eV/atom) = -4.58

Cell: 5.0854 6.1705 5.0854 Å, 90.00 90.00 90.00°
Site moments in Bohr magnetons follow the coordinates.
Fractional positions:
B1 0.5000 0.5000 0.5000  0.28
Cr1 0.0000 0.0000 0.5000  -4.02
Cr2 0.5000 0.0000 0.0000  -3.91
Te1 0.0000 0.0000 0.0000  0.11
In1 0.0000 0.5000 0.0000  0.01

=====

[12]
Computed, not measured: crystalline Cr3BIr at its relaxed geometry at the PBE level of DFT.

Summary:
- theoretical density (g/cm3) = 10.274
- ΔE_f (eV per atom) = 0.1009
- ΔE to the lowest computed polymorph (meV per atom) = 0.0
- calculated total energy (eV/atom) = -8.78

Cell: 3.8715 3.8715 3.8715 Å, 90.00 90.00 90.00°
Fractional positions:
B1 0.0000 0.0000 0.0000
Cr1 0.5000 0.0000 0.0000
Cr2 0.0000 0.5000 0.0000
Cr3 0.0000 0.0000 0.5000
Ir1 0.5000 0.5000 0.5000

=====

[13]
Computed, not measured: crystalline Cr2BIr at its relaxed geometry at the PBE level of DFT.

Summary:
- theoretical density (g/cm3) = 10.815
- ΔE_f (eV per atom) = 0.4542
- calculated total energy (eV/atom) = -8.24

Cell: 3.3534 3.3534 8.7128 Å, 78.90 78.90 90.00°
Fractional positions:
Cr1 0.3750 0.4275 0.7500
Cr2 0.1775 0.6250 0.2500
Cr3 0.8750 0.8225 0.7500
Cr4 0.5725 0.1250 0.2500
B1 0.2500 0.7500 0.5000
B2 0.5000 0.5000 0.0000
Ir1 0.7500 0.2500 0.5000
Ir2 0.0000 0.0000 0.0000

=====

[14]
Computed, not measured: crystalline Cr2B2Ir at its relaxed geometry at the PBE level of DFT.

Summary:
- theoretical density (g/cm3) = 10.775
- ΔE_f (eV per atom) = -0.3834
- ΔE to the lowest computed polymorph (meV per atom) = 5.1
- calculated total energy (eV/atom) = -8.68

Cell: 5.2391 5.2391 13.4816 Å, 90.00 90.00 148.03°
Site moments in Bohr magnetons follow the coordinates.
Fractional positions:
Ir1 0.5562 0.4438 0.9112  0.06
Ir2 0.4438 0.5562 0.4112  0.06
Ir3 0.5562 0.4438 0.5888  0.06
Ir4 0.4438 0.5562 0.0888  0.06
B1 0.7980 0.2020 0.3694  -0.01
B2 0.6348 0.3652 0.3181  -0.02
B3 0.6348 0.3652 0.1819  -0.02
B4 0.2020 0.7980 0.6306  -0.01
B5 0.7980 0.2020 0.1306  -0.01
B6 0.3652 0.6348 0.8181  -0.02
B7 0.2020 0.7980 0.8694  -0.01
B8 0.3652 0.6348 0.6819  -0.02
Cr1 0.2695 0.7305 0.2500  -0.12
Cr2 0.0025 0.9975 0.7500  1.57
Cr3 0.8253 0.1747 0.5588  0.41
Cr4 0.7305 0.2695 0.7500  -0.12
Cr5 0.9975 0.0025 0.2500  1.57
Cr6 0.8253 0.1747 0.9412  0.41
Cr7 0.1747 0.8253 0.4412  0.41
Cr8 0.1747 0.8253 0.0588  0.41

=====

[15]
Computed, not measured: crystalline Cr3BIr at its relaxed geometry at the PBE level of DFT.

Summary:
- theoretical density (g/cm3) = 5.772
- ΔE_f (eV per atom) = 1.9575
- ΔE to the lowest computed polymorph (meV per atom) = 1856.6
- calculated total energy (eV/atom) = -6.92

Cell: 4.6917 4.6917 4.6917 Å, 90.00 90.00 90.00°
Site moments in Bohr magnetons follow the coordinates.
Fractional positions:
Cr1 0.5000 0.0000 0.0000  3.59
Cr2 0.0000 0.5000 0.0000  3.19
Cr3 0.0000 0.0000 0.5000  2.81
Ir1 0.0000 0.0000 0.0000  -0.29
B1 0.5000 0.5000 0.5000  -0.17

=====

[16]
Computed, not measured: crystalline CrBIr at its relaxed geometry at the PBE level of DFT.

Summary:
- theoretical density (g/cm3) = 12.683
- ΔE_f (eV per atom) = -0.1394
- calculated total energy (eV/atom) = -8.53

Cell: 2.6960 4.4351 6.3789 Å, 104.65 77.80 72.31°
Fractional positions:
B1 0.4758 0.4290 0.6194
B2 0.5242 0.5710 0.3806
Cr1 0.8518 0.9815 0.3150
Cr2 0.1482 0.0185 0.6850
Ir1 0.7148 0.6782 0.8922
Ir2 0.2852 0.3218 0.1078

=====

[17]
Computed, not measured: crystalline CrB3Ir at its relaxed geometry at the PBE level of DFT.

Summary:
- theoretical density (g/cm3) = 8.513
- ΔE_f (eV per atom) = 1.3857
- ΔE to the lowest computed polymorph (meV per atom) = 0.0
- calculated total energy (eV/atom) = -6.32

Cell: 3.7789 3.7789 3.7789 Å, 90.00 90.00 90.00°
Site moments in Bohr magnetons follow the coordinates.
Fractional positions:
Cr1 0.0000 0.0000 0.0000  0.92
Ir1 0.5000 0.5000 0.5000  0.59
B1 0.5000 0.0000 0.0000  -0.01
B2 0.0000 0.0000 0.5000  -0.01
B3 0.0000 0.5000 0.0000  0.01

=====

[18]
Computed, not measured: crystalline Cr2B2Ir at its relaxed geometry at the PBE level of DFT.

Summary:
- theoretical density (g/cm3) = 10.641
- ΔE_f (eV per atom) = -0.3164
- ΔE to the lowest computed polymorph (meV per atom) = 72.1
- calculated total energy (eV/atom) = -8.61

Cell: 5.4058 5.4058 3.3946 Å, 90.00 90.00 90.00°
Fractional positions:
Ir1 0.0000 0.0000 0.0000
Ir2 0.5000 0.5000 0.0000
B1 0.3839 0.8839 0.0000
B2 0.1161 0.3839 0.0000
B3 0.6161 0.1161 0.0000
B4 0.8839 0.6161 0.0000
Cr1 0.1625 0.6625 0.5000
Cr2 0.6625 0.8375 0.5000
Cr3 0.3375 0.1625 0.5000
Cr4 0.8375 0.3375 0.5000

=====

[19]
Computed, not measured: crystalline CrB3Ir at its relaxed geometry at the PBE level of DFT.

Summary:
- theoretical density (g/cm3) = 7.154
- ΔE_f (eV per atom) = 1.4440
- ΔE to the lowest computed polymorph (meV per atom) = 58.3
- calculated total energy (eV/atom) = -6.26

Cell: 4.0044 4.0044 4.0044 Å, 90.00 90.00 90.00°
Site moments in Bohr magnetons follow the coordinates.
Fractional positions:
B1 0.5000 0.0000 0.0000  0.01
B2 0.0000 0.5000 0.0000  0.02
B3 0.0000 0.0000 0.5000  0.02
Ir1 0.0000 0.0000 0.0000  0.09
Cr1 0.5000 0.5000 0.5000  -0.14

=====

[20]
Computed, not measured: crystalline CrBIr at its relaxed geometry at the PBE level of DFT.

Summary:
- theoretical density (g/cm3) = 13.228
- ΔE_f (eV per atom) = -0.2110
- calculated total energy (eV/atom) = -8.60

Cell: 2.7988 4.3152 5.5886 Å, 101.14 104.50 90.00°
Fractional positions:
Cr1 0.8505 0.1767 0.7010
Cr2 0.1495 0.8233 0.2990
B1 0.2340 0.3661 0.4681
B2 0.7660 0.6339 0.5319
Ir1 0.5729 0.2851 0.1457
Ir2 0.4271 0.7149 0.8543

=====

[21]
Computed, not measured: crystalline Cr2B2Ir at its relaxed geometry at the PBE level of DFT.

Summary:
- theoretical density (g/cm3) = 10.826
- ΔE_f (eV per atom) = -0.3885
- ΔE to the lowest computed polymorph (meV per atom) = 0.0
- calculated total energy (eV/atom) = -8.68

Cell: 2.9096 7.1941 9.3156 Å, 90.00 90.00 90.00°
Fractional positions:
Ir1 0.0000 0.1256 0.1047
Ir2 0.0000 0.8744 0.8953
Ir3 0.5000 0.6256 0.3953
Ir4 0.5000 0.3744 0.6047
B1 0.5000 0.1254 0.2722
B2 0.0000 0.6254 0.2278
B3 0.0000 0.6169 0.0371
B4 0.5000 0.8831 0.5371
B5 0.0000 0.3831 0.9629
B6 0.5000 0.1169 0.4629
B7 0.5000 0.8746 0.7278
B8 0.0000 0.3746 0.7722
Cr1 0.5000 0.8098 0.1395
Cr2 0.0000 0.0627 0.6401
Cr3 0.0000 0.6902 0.6395
Cr4 0.0000 0.3098 0.3605
Cr5 0.5000 0.1902 0.8605
Cr6 0.0000 0.9373 0.3599
Cr7 0.5000 0.5627 0.8599
Cr8 0.5000 0.4373 0.1401

=====

[22]
Computed, not measured: crystalline La2CrBIr at its relaxed geometry at the PBE level of DFT.

Summary:
- theoretical density (g/cm3) = 8.029
- ΔE_f (eV per atom) = 0.1150
- calculated total energy (eV/atom) = -6.89

Cell: 5.2352 4.0208 5.2352 Å, 90.00 90.00 90.00°
Site moments in Bohr magnetons follow the coordinates.
Fractional positions:
La1 0.5000 0.0000 0.0000  -0.04
La2 0.0000 0.0000 0.5000  -0.06
B1 0.0000 0.0000 0.0000  -0.20
Cr1 0.0000 0.5000 0.0000  2.55
Ir1 0.5000 0.5000 0.5000  0.03

=====

[23]
Computed, not measured: crystalline NaCrB2Ir at its relaxed geometry at the PBE level of DFT.

Summary:
- theoretical density (g/cm3) = 5.992
- ΔE_f (eV per atom) = 2.6599
- calculated total energy (eV/atom) = -3.97

Cell: 4.1564 4.6330 4.1564 Å, 90.00 90.00 90.00°
Site moments in Bohr magnetons follow the coordinates.
Fractional positions:
Ir1 0.0000 0.5000 0.0000  0.10
Cr1 0.5000 0.5000 0.5000  -3.56
Na1 0.0000 0.0000 0.0000  0.01
B1 0.5000 0.0000 0.0000  0.09
B2 0.0000 0.0000 0.5000  0.08

=====

[24]
Computed, not measured: crystalline CrBIr2Pt at its relaxed geometry at the PBE level of DFT.

Summary:
- theoretical density (g/cm3) = 13.867
- ΔE_f (eV per atom) = 1.2826
- calculated total energy (eV/atom) = -6.73

Cell: 4.4700 4.4700 3.8495 Å, 90.00 90.00 90.00°
Fractional positions:
B1 0.0000 0.0000 0.5000
Cr1 0.0000 0.0000 0.0000
Ir1 0.0000 0.5000 0.0000
Ir2 0.5000 0.0000 0.0000
Pt1 0.5000 0.5000 0.5000

=====

[25]
Computed, not measured: crystalline CrBIr2Ru at its relaxed geometry at the PBE level of DFT.

Summary:
- theoretical density (g/cm3) = 10.467
- ΔE_f (eV per atom) = 2.0949
- calculated total energy (eV/atom) = -6.56

Cell: 4.4677 4.3579 4.4677 Å, 90.00 90.00 90.00°
Fractional positions:
Ir1 0.0000 0.0000 0.5000
Ir2 0.5000 0.0000 0.0000
Cr1 0.0000 0.0000 0.0000
B1 0.5000 0.5000 0.5000
Ru1 0.0000 0.5000 0.0000

=====

[26]
Computed, not measured: crystalline ScCr2BIr at its relaxed geometry at the PBE level of DFT.

Summary:
- theoretical density (g/cm3) = 7.268
- ΔE_f (eV per atom) = 2.0365
- calculated total energy (eV/atom) = -6.19

Cell: 4.4273 4.1026 4.4273 Å, 90.00 90.00 90.00°
Site moments in Bohr magnetons follow the coordinates.
Fractional positions:
Cr1 0.5000 0.0000 0.0000  2.91
Cr2 0.0000 0.0000 0.5000  2.33
Ir1 0.5000 0.5000 0.5000  0.26
Sc1 0.0000 0.0000 0.0000  -0.02
B1 0.0000 0.5000 0.0000  -0.10